[1]
The following is a DFT calculation (PBE-GGA) of a relaxed Y2Ir crystal.

Unit cell a=15.789 b=15.789 c=15.789 alpha=164.50 beta=164.50 gamma=21.99
Sites, in units of the cell vectors:
Y 0.039 0.789 0.250
Y 0.124 0.374 0.750
Y 0.211 0.961 0.250
Y 0.374 0.124 0.250
Y 0.626 0.876 0.750
Y 0.789 0.039 0.750
Y 0.876 0.626 0.250
Y 0.961 0.211 0.750
Ir 0.301 0.551 0.750
Ir 0.449 0.699 0.750
Ir 0.551 0.301 0.250
Ir 0.699 0.449 0.250

Values from the calculation:
* total energy: -7.572 eV per atom
* ΔH_f (0 K): -0.309 eV per atom
* SG: No. 141

---

[2]
The following is a DFT calculation (PBE-GGA) of a relaxed YIr crystal.

Unit cell a=7.202 b=7.202 c=7.202 alpha=109.47 beta=109.47 gamma=109.47
Sites, in units of the cell vectors:
Y 0.000 0.000 0.602
Y 0.000 0.602 0.000
Y 0.398 0.398 0.398
Y 0.602 0.000 0.000
Ir 0.000 0.000 0.237
Ir 0.000 0.237 0.000
Ir 0.237 0.000 0.000
Ir 0.763 0.763 0.763

Values from the calculation:
* total energy: -7.466 eV per atom
* ΔH_f (0 K): 0.197 eV per atom
* SG: No. 217

---

[3]
The following is a DFT calculation (PBE-GGA) of a relaxed Y2Ir crystal.

Unit cell a=6.463 b=6.472 c=4.152 alpha=90.00 beta=90.00 gamma=90.00
Sites, in units of the cell vectors:
Y 0.156 0.239 0.000
Y 0.344 0.739 0.500
Y 0.656 0.261 0.500
Y 0.844 0.761 0.000
Ir 0.000 0.000 0.500
Ir 0.500 0.500 0.000

Values from the calculation:
* total energy: -7.872 eV per atom
* ΔH_f (0 K): -0.609 eV per atom
* SG: No. 58

---

[4]
The following is a DFT calculation (PBE-GGA) of a relaxed Y5Ir3 crystal.

Unit cell a=8.357 b=8.357 c=6.247 alpha=90.00 beta=90.00 gamma=120.00
Sites, in units of the cell vectors:
Y 0.000 0.261 0.250
Y 0.000 0.739 0.750
Y 0.261 0.000 0.250
Y 0.261 0.261 0.750
Y 0.333 0.667 0.000
Y 0.333 0.667 0.500
Y 0.667 0.333 0.000
Y 0.667 0.333 0.500
Y 0.739 0.000 0.750
Y 0.739 0.739 0.250
Ir 0.000 0.389 0.750
Ir 0.000 0.611 0.250
Ir 0.389 0.000 0.750
Ir 0.389 0.389 0.250
Ir 0.611 0.000 0.250
Ir 0.611 0.611 0.750

Values from the calculation:
* total energy: -8.094 eV per atom
* ΔH_f (0 K): -0.731 eV per atom
* SG: No. 193

---

[5]
The following is a DFT calculation (PBE-GGA) of a relaxed Y5Ir4 crystal.

Unit cell a=6.687 b=6.687 c=6.687 alpha=98.12 beta=98.12 gamma=135.86
Sites, in units of the cell vectors:
Y 0.000 0.000 0.000
Y 0.314 0.314 0.627
Y 0.314 0.686 0.000
Y 0.686 0.314 0.000
Y 0.686 0.686 0.373
Ir 0.000 0.348 0.348
Ir 0.000 0.652 0.652
Ir 0.348 0.000 0.348
Ir 0.652 0.000 0.652

Values from the calculation:
* total energy: -7.839 eV per atom
* ΔH_f (0 K): -0.310 eV per atom
* SG: No. 139

---

[6]
The following is a DFT calculation (PBE-GGA) of a relaxed YIr2 crystal.

Unit cell a=6.532 b=6.532 c=5.950 alpha=104.38 beta=104.38 gamma=26.29
Sites, in units of the cell vectors:
Y 0.147 0.147 0.096
Y 0.853 0.853 0.904
Ir 0.172 0.172 0.590
Ir 0.493 0.493 0.281
Ir 0.507 0.507 0.719
Ir 0.828 0.828 0.410

Values from the calculation:
* total energy: -8.259 eV per atom
* ΔH_f (0 K): -0.197 eV per atom
* SG: No. 12

---

What did the third record say?
The following is a DFT calculation (PBE-GGA) of a relaxed Y2Ir crystal.

Unit cell a=6.463 b=6.472 c=4.152 alpha=90.00 beta=90.00 gamma=90.00
Sites, in units of the cell vectors:
Y 0.156 0.239 0.000
Y 0.344 0.739 0.500
Y 0.656 0.261 0.500
Y 0.844 0.761 0.000
Ir 0.000 0.000 0.500
Ir 0.500 0.500 0.000

Values from the calculation:
* total energy: -7.872 eV per atom
* ΔH_f (0 K): -0.609 eV per atom
* SG: No. 58

---

Q: The highest ΔH_f (0 K) belongs to which entry?
A: YIr